Entry 1:
Material: PmNdZnRh
Method: DFT, GGA-PBE
State: relaxed

Structure (POSCAR):
```
PmNdZnRh
1.0
0.000 3.598 3.598
3.598 0.000 3.598
3.598 3.598 0.000
Pm Nd Zn Rh
1 1 1 1
Direct
0.000 0.000 0.000
0.500 0.500 0.500
0.750 0.750 0.750
0.250 0.250 0.250
```

Its magnetic moment is 0.00 μB/f.u. The value obtained for the energy above the most stable polymorph in this dataset is 37 meV/atom. The theoretical density comes out at 8.15 g cm⁻³. Its energy relative to the elements is -485 meV per atom. The density of states at the Fermi level is 2.01 states/eV per cell.

=====

Entry 2:
Material: PmNdZnRh
Method: DFT, GGA-PBE
State: relaxed

Structure (POSCAR):
```
PmNdZnRh
1.0
4.448 0.000 0.000
0.000 2.007 5.449
0.000 -2.007 5.449
Pm Nd Zn Rh
1 1 1 1
Direct
0.000 0.000 0.000
0.500 0.723 0.723
0.000 0.292 0.292
0.500 0.434 0.434
```

Its magnetic moment is 0.00 μB/f.u. The value obtained for the energy above the most stable polymorph in this dataset is 0 meV/atom. The theoretical density comes out at 7.81 g cm⁻³. Its energy relative to the elements is -522 meV per atom. The density of states at the Fermi level is 3.34 states/eV per cell.

=====

Entry 3:
Material: PmNd2Ru
Method: DFT, GGA-PBE
State: relaxed

Structure (POSCAR):
```
PmNd2Ru
1.0
2.000 -6.151 0.000
2.000 6.151 0.000
0.000 0.000 9.547
Pm Nd Ru
2 4 2
Direct
0.082 0.918 0.750
0.918 0.082 0.250
0.358 0.642 0.570
0.358 0.642 0.930
0.642 0.358 0.070
0.642 0.358 0.430
0.254 0.746 0.250
0.746 0.254 0.750
```

Its magnetic moment is 0.00 μB/f.u. The value obtained for the energy above the most stable polymorph in this dataset is 23 meV/atom. The theoretical density comes out at 7.56 g cm⁻³. Its energy relative to the elements is -175 meV per atom. The density of states at the Fermi level is 7.72 states/eV per cell.

=====

Entry 4:
Material: Pm2Nd3Ru2
Method: DFT, GGA-PBE
State: relaxed

Structure (POSCAR):
```
Pm2Nd3Ru2
1.0
6.170 -1.976 0.000
6.170 1.976 0.000
-3.675 0.000 8.163
Pm Nd Ru
2 3 2
Direct
0.169 0.169 0.309
0.831 0.831 0.691
0.381 0.381 0.076
0.500 0.500 0.500
0.619 0.619 0.924
0.182 0.182 0.732
0.818 0.818 0.268
```

Its magnetic moment is 0.00 μB/f.u. The theoretical density comes out at 7.72 g cm⁻³. Its energy relative to the elements is -204 meV per atom. The density of states at the Fermi level is 5.36 states/eV per cell.